Record 1
Below is crystalline Li2Mg2Al2CuAg at its relaxed geometry, with properties calculated at the PBE-GGA level.

Results
Space group: P-4m2

Geometry as POSCAR:
```
Li2Mg2Al2CuAg
1.0
-0.2494 -4.2755 1.1647
3.1817 0.6392 3.0277
-4.4080 1.4364 4.3291
Mg Al Ag Li Cu
2 2 1 2 1
Cartesian
-1.6673 1.3813 4.7137
-1.2745 -1.7631 1.7116
-3.3738 -1.0790 3.7733
0.4320 0.6972 2.6520
0.0000 0.0000 0.0000
-2.2040 0.7182 2.1645
1.4662 -1.8182 2.0962
-0.7378 -1.1000 4.2607
```

***

Record 2
Below is crystalline Zr5Ga at its relaxed geometry, with properties calculated at the PBE-GGA level.

Results
Total magnetization in μB/f.u.: 0.00
Space group: P-62m

Geometry as POSCAR:
```
Zr5Ga
1.0
2.7292 4.7271 0.0000
-2.7292 4.7271 0.0000
0.0000 0.0000 5.0960
Zr Ga
5 1
Cartesian
0.0000 6.3027 0.0000
-0.9954 4.7271 2.5480
1.8623 3.2256 2.5480
0.0000 3.1514 0.0000
-0.8668 1.5014 2.5480
0.0000 0.0000 0.0000
```

***

| no. | uncorrected energy (eV per atom) |
| --- | --- |
| 1 | -2.830 |
| 2 | -7.771 |